A.
A geometry-optimized AgBAs structure, computed with PBE-GGA.

Values from the calculation:
The value obtained for the calculated volume is 51 Å³/cell. As for the theoretical density: 6.3 g/cm3.

```
AgBAs
1.0
0.000 2.951 2.951
2.951 0.000 2.951
2.951 2.951 0.000
Ag As B
1 1 1
direct
0.000 0.000 0.000
0.250 0.250 0.250
0.750 0.750 0.750
```

B.
A geometry-optimized AgBAs structure, computed with PBE-GGA.

Values from the calculation:
The value obtained for the calculated volume is 53 Å³/cell. As for the theoretical density: 6.1 g/cm3.

```
AgBAs
1.0
0.000 2.975 2.975
2.975 0.000 2.975
2.975 2.975 0.000
Ag As B
1 1 1
direct
0.250 0.250 0.250
0.000 0.000 0.000
0.750 0.750 0.750
```

Energies, relative to the best one, in kJ/mol of atoms: A 2.2; B 0.0.

A.
A geometry-optimized BaAgAsO structure, computed with PBE-GGA.

Values from the calculation:
The value obtained for the calculated volume is 184 Å³/cell. As for the theoretical density: 6.1 g/cm3.

```
BaAgAsO
1.0
4.418 0.000 0.000
0.000 7.991 0.000
0.000 0.000 5.204
Ag As Ba O
2 2 2 2
direct
0.000 0.684 0.002
0.000 0.316 0.502
0.000 0.000 0.247
0.000 0.000 0.747
0.500 0.300 0.002
0.500 0.700 0.502
0.500 0.619 0.002
0.500 0.381 0.502
```

B.
A geometry-optimized BaAgAsO structure, computed with PBE-GGA.

Values from the calculation:
The value obtained for the calculated volume is 185 Å³/cell. As for the theoretical density: 6.0 g/cm3.

```
BaAgAsO
1.0
4.611 0.000 0.000
0.000 4.611 0.000
0.000 0.000 8.698
Ag As Ba O
2 2 2 2
direct
0.750 0.250 0.500
0.250 0.750 0.500
0.750 0.750 0.354
0.250 0.250 0.646
0.250 0.250 0.131
0.750 0.750 0.869
0.750 0.250 0.000
0.250 0.750 0.000
```

Energies, relative to the best one, in kJ/mol of atoms: A 9.1; B 0.0.

A.
A geometry-optimized BaAgAsO structure, computed with PBE-GGA.

Values from the calculation:
The value obtained for the calculated volume is 181 Å³/cell. As for the theoretical density: 6.2 g/cm3.

```
BaAgAsO
1.0
5.952 0.000 0.000
0.000 5.952 0.000
0.000 0.000 5.103
Ag As Ba O
2 2 2 2
direct
0.250 0.250 0.001
0.750 0.750 0.999
0.750 0.750 0.499
0.250 0.250 0.501
0.750 0.250 0.500
0.250 0.750 0.500
0.750 0.250 0.000
0.250 0.750 0.000
```

B.
A geometry-optimized BaAgAsO structure, computed with PBE-GGA.

Values from the calculation:
The value obtained for the calculated volume is 180 Å³/cell. As for the theoretical density: 6.2 g/cm3.

```
BaAgAsO
1.0
-1.441 3.284 -0.722
-4.452 -0.445 6.861
4.444 2.622 3.054
Ag As Ba O
2 2 2 2
direct
0.000 0.269 0.015
0.000 0.731 0.515
0.500 0.949 0.473
0.500 0.051 0.973
0.500 0.643 0.012
0.500 0.357 0.512
0.000 0.489 0.254
0.000 0.511 0.754
```

Energies, relative to the best one, in kJ/mol of atoms: A 71.9; B 0.0.

A.
A geometry-optimized BeFeAgAs structure, computed with PBE-GGA.

Values from the calculation:
The value obtained for the calculated volume is 55 Å³/cell. As for the theoretical density: 7.5 g/cm3.

```
BeFeAgAs
1.0
-2.698 1.750 2.799
-1.701 3.829 -0.787
-4.141 0.337 -0.956
Ag As Be Fe
1 1 1 1
direct
0.250 0.250 0.250
0.000 0.000 0.000
0.500 0.500 0.500
0.750 0.750 0.750
```

B.
A geometry-optimized BeFeAgAs structure, computed with PBE-GGA.

Values from the calculation:
The value obtained for the calculated volume is 55 Å³/cell. As for the theoretical density: 7.5 g/cm3.

```
BeFeAgAs
1.0
0.000 3.021 3.021
3.021 0.000 3.021
3.021 3.021 0.000
Ag As Be Fe
1 1 1 1
direct
0.500 0.500 0.500
0.000 0.000 0.000
0.250 0.250 0.250
0.750 0.750 0.750
```

Energies, relative to the best one, in kJ/mol of atoms: A 0.0; B 1.5.